No. 1
NaCu3Te4Mo after structural relaxation, computed with PBE.

Unit cell a=6.2905 b=6.2905 c=6.2905 alpha=90.00 beta=90.00 gamma=90.00
With the nearest neighbours (Å) after each atom.
Space group P-43m (No. 215)
Unique sites:
Na (0.0000, 0.0000, 0.0000)  4 Te 2.85
Cu (0.0000, 0.5000, 0.5000)  4 Te 2.68
Te (0.2614, 0.2614, 0.2614)  1 Mo 2.60, 3 Cu 2.68, 1 Na 2.85
Mo (0.5000, 0.5000, 0.5000)  4 Te 2.60

Crystal system: cubic
Density: 5.5 g/cm³
Final energy: -4.05 eV per atom

No. 2
LaInFeSe3 after structural relaxation, computed with PBE.

Unit cell a=4.2449 b=14.4185 c=11.4208 alpha=90.00 beta=90.00 gamma=90.00
With the nearest neighbours (Å) after each atom.
Space group Cmcm (No. 63)
Unique sites:
La (0.0000, 0.0000, 0.0000)  6 Se 3.00-3.01
In (0.0000, 0.2459, 0.2500)  6 Se 3.30-3.44
Fe (0.0000, 0.4727, 0.7500)  4 Se 2.43-2.52
Se (0.0000, 0.0664, 0.7500)  2 Fe 2.52
Se (0.0000, 0.3685, 0.5830)  1 Fe 2.43

Crystal system: orthorhombic
Density: 5.2 g/cm³
Final energy: -5.31 eV per atom